No. 1
Here is crystalline Pm4ZnHg at its relaxed geometry from Alexandria. Energies are from PBE-GGA.

```
Pm4ZnHg
1.0
-2.487 -4.431 0.718
3.688 -1.549 3.216
-3.647 2.956 5.609
Pm Zn Hg
4 1 1
Direct
0.501 0.997 0.259 Pm
0.001 0.497 0.259 Pm
0.501 0.997 0.737 Pm
0.001 0.497 0.737 Pm
0.001 0.997 0.498 Zn
0.501 0.497 0.998 Hg
```

Summary:
**Symmetry**: P4/mmm (123)
**Size of the total moment**: 0.001 Bohr magnetons per cell
**Uncorrected energy**: -20.8 eV for the cell shown
**V**: 32.110 A^3/atom
**Energy above the lowest structure with this stoichiometry**: 215 meV per atom
**Energy of formation from the pure elements**: -3.4 kJ/mol of atoms

=====

No. 2
Here is crystalline Pm3Zn3Hg2 at its relaxed geometry from Alexandria. Energies are from PBE-GGA.

```
Pm3Zn3Hg2
1.0
3.841 0.000 0.000
0.000 5.203 -0.239
-1.920 -2.154 9.782
Zn Pm Hg
3 3 2
Direct
0.622 0.124 0.245 Zn
0.500 0.500 0.000 Zn
0.378 0.876 0.755 Zn
0.133 0.634 0.266 Pm
0.000 0.000 0.000 Pm
0.867 0.366 0.734 Pm
0.768 0.767 0.535 Hg
0.232 0.233 0.465 Hg
```

Summary:
**Symmetry**: C2/m (12)
**Size of the total moment**: 0.000 Bohr magnetons per cell
**Uncorrected energy**: -21.2 eV for the cell shown
**V**: 24.189 A^3/atom
**Energy above the lowest structure with this stoichiometry**: 48 meV per atom
**Energy of formation from the pure elements**: -30.3 kJ/mol of atoms

=====

No. 3
Here is crystalline Pm6Zn2Hg at its relaxed geometry from Alexandria. Energies are from PBE-GGA.

```
Pm6Zn2Hg
1.0
-2.634 -8.290 1.279
8.694 0.103 -1.306
-1.802 4.979 7.018
Pm Hg Zn
12 2 4
Direct
0.203 0.247 0.450 Pm
0.797 0.753 0.550 Pm
0.716 0.038 0.321 Pm
0.716 0.395 0.679 Pm
0.284 0.962 0.679 Pm
0.448 0.268 0.180 Pm
0.912 0.732 0.180 Pm
0.797 0.247 0.044 Pm
0.552 0.732 0.820 Pm
0.088 0.268 0.820 Pm
0.203 0.753 0.956 Pm
0.284 0.605 0.321 Pm
0.000 0.500 0.500 Hg
0.000 0.000 0.000 Hg
0.500 0.624 0.124 Zn
0.634 0.000 0.634 Zn
0.366 0.000 0.366 Zn
0.500 0.376 0.876 Zn
```

Summary:
**Symmetry**: Immm (71)
**Size of the total moment**: 0.000 Bohr magnetons per cell
**Uncorrected energy**: -66.4 eV for the cell shown
**V**: 29.047 A^3/atom
**Energy above the lowest structure with this stoichiometry**: 0 meV per atom
**Energy of formation from the pure elements**: -20.0 kJ/mol of atoms

=====

No. 4
Here is crystalline Pm5ZnHg6 at its relaxed geometry from Alexandria. Energies are from PBE-GGA.

```
Pm5ZnHg6
1.0
5.017 -0.004 -1.406
-3.792 7.506 -3.902
-0.125 -1.080 9.207
Hg Pm Zn
6 5 1
Direct
0.245 0.405 0.085 Hg
0.245 0.085 0.405 Hg
0.755 0.595 0.915 Hg
0.248 0.748 0.748 Hg
0.755 0.915 0.595 Hg
0.752 0.252 0.252 Hg
0.500 0.155 0.845 Pm
0.500 0.845 0.155 Pm
0.000 0.326 0.674 Pm
0.000 0.674 0.326 Pm
0.500 0.500 0.500 Pm
0.000 0.000 0.000 Zn
```

Summary:
**Symmetry**: Immm (71)
**Size of the total moment**: 0.000 Bohr magnetons per cell
**Uncorrected energy**: -31.6 eV for the cell shown
**V**: 26.528 A^3/atom
**Energy of formation from the pure elements**: -38.7 kJ/mol of atoms

=====

No. 5
Here is crystalline Pm3Zn2Hg at its relaxed geometry from Alexandria. Energies are from PBE-GGA.

```
Pm3Zn2Hg
1.0
3.687 0.000 0.000
0.000 3.687 0.000
0.000 0.000 11.258
Pm Zn Hg
3 2 1
Direct
0.000 0.000 0.318 Pm
0.000 0.000 0.682 Pm
0.000 0.000 0.000 Pm
0.500 0.500 0.842 Zn
0.500 0.500 0.158 Zn
0.500 0.500 0.500 Hg
```

Summary:
**Symmetry**: P4/mmm (123)
**Size of the total moment**: 0.026 Bohr magnetons per cell
**Uncorrected energy**: -19.3 eV for the cell shown
**V**: 25.514 A^3/atom
**Energy of formation from the pure elements**: -35.7 kJ/mol of atoms

=====

No. 6
Here is crystalline Pm2ZnHg at its relaxed geometry from Alexandria. Energies are from PBE-GGA.

```
Pm2ZnHg
1.0
-5.285 0.065 -0.377
-2.576 -4.242 -1.855
-2.926 -2.964 3.275
Hg Zn Pm
1 1 2
Direct
0.500 0.500 0.500 Hg
0.000 0.000 0.000 Zn
0.250 0.250 0.250 Pm
0.750 0.750 0.750 Pm
```

Summary:
**Symmetry**: Fm-3m (225)
**Size of the total moment**: 0.903 Bohr magnetons per cell
**Uncorrected energy**: -12.6 eV for the cell shown
**V**: 26.295 A^3/atom
**Energy above the lowest structure with this stoichiometry**: 25 meV per atom
**Energy of formation from the pure elements**: -36.4 kJ/mol of atoms

=====

No. 7
Here is crystalline Pm4ZnHg at its relaxed geometry from Alexandria. Energies are from PBE-GGA.

```
Pm4ZnHg
1.0
-3.578 -0.260 -0.898
-0.084 -3.450 1.331
-3.209 4.507 11.478
Pm Hg Zn
4 1 1
Direct
0.000 0.000 0.343 Pm
0.000 0.000 0.657 Pm
0.500 0.500 0.141 Pm
0.500 0.500 0.859 Pm
0.500 0.500 0.500 Hg
0.000 0.000 0.000 Zn
```

Summary:
**Symmetry**: P4/mmm (123)
**Size of the total moment**: 0.627 Bohr magnetons per cell
**Uncorrected energy**: -22.1 eV for the cell shown
**V**: 29.052 A^3/atom
**Energy above the lowest structure with this stoichiometry**: 0 meV per atom
**Energy of formation from the pure elements**: -24.1 kJ/mol of atoms

=====

No. 8
Here is crystalline Pm5Zn2Hg at its relaxed geometry from Alexandria. Energies are from PBE-GGA.

```
Pm5Zn2Hg
1.0
7.681 0.000 -3.626
-1.712 7.488 -3.626
-0.663 -0.831 8.545
Zn Pm Hg
4 10 2
Direct
0.643 0.143 0.000 Zn
0.143 0.357 0.000 Zn
0.357 0.857 0.000 Zn
0.857 0.643 0.000 Zn
0.994 0.494 0.292 Pm
0.506 0.701 0.708 Pm
0.701 0.201 0.708 Pm
0.799 0.994 0.292 Pm
0.299 0.799 0.292 Pm
0.000 0.000 0.000 Pm
0.006 0.506 0.708 Pm
0.494 0.299 0.292 Pm
0.500 0.500 0.000 Pm
0.201 0.006 0.708 Pm
0.750 0.750 0.500 Hg
0.250 0.250 0.500 Hg
```

Summary:
**Symmetry**: I4/mcm (140)
**Size of the total moment**: 0.000 Bohr magnetons per cell
**Uncorrected energy**: -57.4 eV for the cell shown
**V**: 27.822 A^3/atom
**Energy of formation from the pure elements**: -25.4 kJ/mol of atoms

=====

No. 9
Here is crystalline PmZnHg2 at its relaxed geometry from Alexandria. Energies are from PBE-GGA.

```
PmZnHg2
1.0
4.865 0.000 0.000
0.000 3.713 0.000
0.000 -1.857 10.409
Hg Zn Pm
4 2 2
Direct
0.750 0.463 0.926 Hg
0.250 0.271 0.542 Hg
0.750 0.729 0.458 Hg
0.250 0.537 0.074 Hg
0.750 0.335 0.670 Zn
0.250 0.665 0.330 Zn
0.750 0.100 0.200 Pm
0.250 0.900 0.800 Pm
```

Summary:
**Symmetry**: Cmcm (63)
**Size of the total moment**: 0.000 Bohr magnetons per cell
**Uncorrected energy**: -15.7 eV for the cell shown
**V**: 23.504 A^3/atom
**Energy above the lowest structure with this stoichiometry**: 17 meV per atom
**Energy of formation from the pure elements**: -29.9 kJ/mol of atoms

=====

No. 10
Here is crystalline PmZn2Hg at its relaxed geometry from Alexandria. Energies are from PBE-GGA.

```
PmZn2Hg
1.0
3.529 0.000 0.000
0.000 3.529 0.000
0.000 0.000 6.993
Zn Pm Hg
2 1 1
Direct
0.000 0.000 0.221 Zn
0.000 0.000 0.779 Zn
0.500 0.500 0.500 Pm
0.500 0.500 0.000 Hg
```

Summary:
**Symmetry**: P4/mmm (123)
**Size of the total moment**: 0.132 Bohr magnetons per cell
**Uncorrected energy**: -8.2 eV for the cell shown
**V**: 21.773 A^3/atom
**Energy above the lowest structure with this stoichiometry**: 150 meV per atom
**Energy of formation from the pure elements**: -14.1 kJ/mol of atoms

=====

No. 11
Here is crystalline Pm3Zn4Hg4 at its relaxed geometry from Alexandria. Energies are from PBE-GGA.

```
Pm3Zn4Hg4
1.0
3.716 -0.002 0.001
-0.002 4.754 -0.076
1.840 2.119 14.281
Hg Zn Pm
4 4 3
Direct
0.552 0.542 0.898 Hg
0.689 0.144 0.622 Hg
0.448 0.458 0.102 Hg
0.311 0.856 0.378 Hg
0.740 0.698 0.520 Zn
0.596 0.078 0.810 Zn
0.404 0.922 0.190 Zn
0.260 0.302 0.480 Zn
0.146 0.618 0.709 Pm
0.000 0.000 0.000 Pm
0.854 0.382 0.291 Pm
```

Summary:
**Symmetry**: P-1 (2)
**Size of the total moment**: 0.000 Bohr magnetons per cell
**Uncorrected energy**: -24.3 eV for the cell shown
**V**: 22.990 A^3/atom
**Energy of formation from the pure elements**: -32.5 kJ/mol of atoms

=====

No. 12
Here is crystalline Pm2Zn2Hg3 at its relaxed geometry from Alexandria. Energies are from PBE-GGA.

```
Pm2Zn2Hg3
1.0
-0.521 -3.491 -0.976
2.213 -1.353 3.657
-9.926 0.518 3.449
Hg Pm Zn
3 2 2
Direct
0.500 0.424 0.847 Hg
0.500 0.576 0.153 Hg
0.000 0.000 0.000 Hg
0.000 0.161 0.322 Pm
0.000 0.839 0.678 Pm
0.500 0.281 0.562 Zn
0.500 0.719 0.438 Zn
```

Summary:
**Symmetry**: Cmmm (65)
**Size of the total moment**: 0.436 Bohr magnetons per cell
**Uncorrected energy**: -14.9 eV for the cell shown
**V**: 24.114 A^3/atom
**Energy above the lowest structure with this stoichiometry**: 15 meV per atom
**Energy of formation from the pure elements**: -27.4 kJ/mol of atoms

=====

No. 13
Here is crystalline Pm4ZnHg5 at its relaxed geometry from Alexandria. Energies are from PBE-GGA.

```
Pm4ZnHg5
1.0
-0.578 -2.299 2.942
-1.877 -2.395 -2.240
15.670 -8.761 -3.768
Pm Hg Zn
4 5 1
Direct
0.000 0.000 0.815 Pm
0.000 0.000 0.185 Pm
0.000 0.000 0.605 Pm
0.000 0.000 0.395 Pm
0.500 0.500 0.709 Hg
0.500 0.500 0.916 Hg
0.500 0.500 0.084 Hg
0.500 0.500 0.291 Hg
0.500 0.500 0.500 Hg
0.000 0.000 0.000 Zn
```

Summary:
**Symmetry**: P4/mmm (123)
**Size of the total moment**: 1.225 Bohr magnetons per cell
**Uncorrected energy**: -25.5 eV for the cell shown
**V**: 26.189 A^3/atom
**Energy above the lowest structure with this stoichiometry**: 45 meV per atom
**Energy of formation from the pure elements**: -35.9 kJ/mol of atoms

=====

No. 14
Here is crystalline Pm3ZnHg at its relaxed geometry from Alexandria. Energies are from PBE-GGA.

```
Pm3ZnHg
1.0
-1.583 -2.388 3.774
0.904 -6.125 -3.495
8.325 -0.561 3.137
Pm Hg Zn
6 2 2
Direct
0.750 0.993 0.686 Pm
0.750 0.750 0.062 Pm
0.250 0.493 0.314 Pm
0.750 0.507 0.686 Pm
0.250 0.250 0.938 Pm
0.250 0.007 0.314 Pm
0.750 0.250 0.165 Hg
0.250 0.750 0.835 Hg
0.250 0.250 0.597 Zn
0.750 0.750 0.403 Zn
```

Summary:
**Symmetry**: Pmmn (59)
**Size of the total moment**: 0.000 Bohr magnetons per cell
**Uncorrected energy**: -33.3 eV for the cell shown
**V**: 30.031 A^3/atom
**Energy above the lowest structure with this stoichiometry**: 133 meV per atom
**Energy of formation from the pure elements**: -15.7 kJ/mol of atoms

=====

No. 15
Here is crystalline Pm3Zn2Hg6 at its relaxed geometry from Alexandria. Energies are from PBE-GGA.

```
Pm3Zn2Hg6
1.0
4.261 0.000 0.000
0.000 4.261 0.000
-2.130 -2.130 15.572
Hg Pm Zn
6 3 2
Direct
0.078 0.578 0.156 Hg
0.578 0.078 0.156 Hg
0.274 0.274 0.548 Hg
0.726 0.726 0.452 Hg
0.922 0.422 0.844 Hg
0.422 0.922 0.844 Hg
0.172 0.172 0.343 Pm
0.000 0.000 0.000 Pm
0.828 0.828 0.657 Pm
0.361 0.361 0.723 Zn
0.639 0.639 0.277 Zn
```

Summary:
**Symmetry**: I4/mmm (139)
**Size of the total moment**: 0.000 Bohr magnetons per cell
**Uncorrected energy**: -21.1 eV for the cell shown
**V**: 25.697 A^3/atom
**Energy of formation from the pure elements**: -21.7 kJ/mol of atoms

=====

No. 16
Here is crystalline PmZnHg2 at its relaxed geometry from Alexandria. Energies are from PBE-GGA.

```
PmZnHg2
1.0
-0.419 3.407 1.010
-3.251 -0.779 1.278
2.928 -1.565 6.496
Pm Hg Zn
1 2 1
Direct
0.500 0.500 0.500 Pm
0.000 0.000 0.219 Hg
0.000 0.000 0.781 Hg
0.500 0.500 0.000 Zn
```

Summary:
**Symmetry**: P4/mmm (123)
**Size of the total moment**: 0.083 Bohr magnetons per cell
**Uncorrected energy**: -7.5 eV for the cell shown
**V**: 23.359 A^3/atom
**Energy above the lowest structure with this stoichiometry**: 104 meV per atom
**Energy of formation from the pure elements**: -21.4 kJ/mol of atoms

=====

No. 17
Here is crystalline Pm2Zn2Hg3 at its relaxed geometry from Alexandria. Energies are from PBE-GGA.

```
Pm2Zn2Hg3
1.0
-2.897 3.408 -0.398
0.481 -0.450 -7.359
-6.263 -8.271 0.097
Pm Hg Zn
4 6 4
Direct
0.053 0.750 0.106 Pm
0.162 0.250 0.324 Pm
0.838 0.750 0.676 Pm
0.947 0.250 0.894 Pm
0.566 0.057 0.133 Hg
0.434 0.557 0.867 Hg
0.566 0.443 0.133 Hg
0.222 0.750 0.445 Hg
0.778 0.250 0.555 Hg
0.434 0.943 0.867 Hg
0.690 0.938 0.381 Zn
0.690 0.562 0.381 Zn
0.310 0.438 0.619 Zn
0.310 0.062 0.619 Zn
```

Summary:
**Symmetry**: Cmcm (63)
**Size of the total moment**: 0.000 Bohr magnetons per cell
**Uncorrected energy**: -30.1 eV for the cell shown
**V**: 24.001 A^3/atom
**Energy above the lowest structure with this stoichiometry**: 0 meV per atom
**Energy of formation from the pure elements**: -28.9 kJ/mol of atoms

=====

No. 18
Here is crystalline Pm2ZnHg4 at its relaxed geometry from Alexandria. Energies are from PBE-GGA.

```
Pm2ZnHg4
1.0
4.766 0.000 1.489
2.150 4.253 1.489
-0.215 -0.132 9.060
Hg Zn Pm
4 1 2
Direct
0.870 0.870 0.391 Hg
0.130 0.130 0.609 Hg
0.625 0.625 0.124 Hg
0.375 0.375 0.876 Hg
0.000 0.000 0.000 Zn
0.747 0.747 0.758 Pm
0.253 0.253 0.242 Pm
```

Summary:
**Symmetry**: R-3m (166)
**Size of the total moment**: 0.000 Bohr magnetons per cell
**Uncorrected energy**: -13.9 eV for the cell shown
**V**: 26.507 A^3/atom
**Energy above the lowest structure with this stoichiometry**: 37 meV per atom
**Energy of formation from the pure elements**: -27.0 kJ/mol of atoms

=====

No. 19
Here is crystalline Pm5Zn4Hg at its relaxed geometry from Alexandria. Energies are from PBE-GGA.

```
Pm5Zn4Hg
1.0
-0.527 -3.322 1.485
3.484 -0.027 1.174
-5.305 7.956 15.924
Zn Pm Hg
4 5 1
Direct
0.000 0.000 0.402 Zn
0.000 0.000 0.793 Zn
0.000 0.000 0.598 Zn
0.000 0.000 0.207 Zn
0.500 0.500 0.889 Pm
0.500 0.500 0.500 Pm
0.500 0.500 0.696 Pm
0.500 0.500 0.304 Pm
0.500 0.500 0.111 Pm
0.000 0.000 0.000 Hg
```

Summary:
**Symmetry**: P4/mmm (123)
**Size of the total moment**: 0.007 Bohr magnetons per cell
**Uncorrected energy**: -32.6 eV for the cell shown
**V**: 25.111 A^3/atom
**Energy of formation from the pure elements**: -33.6 kJ/mol of atoms

=====

No. 20
Here is crystalline Pm2Zn4Hg3 at its relaxed geometry from Alexandria. Energies are from PBE-GGA.

```
Pm2Zn4Hg3
1.0
6.259 0.000 0.000
0.000 7.703 0.000
-3.129 0.000 8.108
Hg Zn Pm
6 8 4
Direct
0.483 0.250 0.466 Hg
0.017 0.750 0.534 Hg
0.983 0.250 0.466 Hg
0.500 0.500 0.000 Hg
0.517 0.750 0.534 Hg
0.000 0.000 0.000 Hg
0.312 0.250 0.123 Zn
0.331 0.481 0.663 Zn
0.812 0.250 0.123 Zn
0.831 0.019 0.663 Zn
0.669 0.519 0.337 Zn
0.188 0.750 0.877 Zn
0.169 0.981 0.337 Zn
0.688 0.750 0.877 Zn
0.109 0.589 0.219 Pm
0.609 0.911 0.219 Pm
0.391 0.089 0.781 Pm
0.891 0.411 0.781 Pm
```

Summary:
**Symmetry**: Cmce (64)
**Size of the total moment**: 0.000 Bohr magnetons per cell
**Uncorrected energy**: -35.2 eV for the cell shown
**V**: 21.717 A^3/atom
**Energy of formation from the pure elements**: -22.7 kJ/mol of atoms